Record 1
DFT (PBE) results for an optimized crystal structure of PmCd3In.

Output
Energy relative to the elements in eV per atom: -0.1615
Space-group type: Cmmm, No. 65

abc: 14.133 14.133 3.798
angles: 90.00 90.00 159.85
Fractional positions:
Pm (0.168, 0.832, 0.000)
Pm (0.832, 0.168, 0.000)
Cd (0.056, 0.944, 0.500)
Cd (0.272, 0.728, 0.500)
Cd (0.451, 0.549, 0.000)
Cd (0.549, 0.451, 0.000)
Cd (0.728, 0.272, 0.500)
Cd (0.944, 0.056, 0.500)
In (0.373, 0.627, 0.500)
In (0.627, 0.373, 0.500)

***

Record 2
DFT (PBE) results for an optimized crystal structure of PaVRu2.

Output
Energy relative to the elements in eV per atom: -0.2670
Space-group type: P4/mmm, No. 123

abc: 4.347 4.347 3.612
angles: 90.00 90.00 90.00
Fractional positions:
Pa (0.000, 0.000, 0.000)
V (0.500, 0.500, 0.000)
Ru (0.000, 0.500, 0.500)
Ru (0.500, 0.000, 0.500)

***

Record 3
DFT (PBE) results for an optimized crystal structure of In2TcSb.

Output
Formation energy from raw total energies in meV per atom: 162
Space-group type: R3m, No. 160

abc: 10.366 10.366 10.366
angles: 18.21 18.21 18.21
Fractional positions:
In (0.000, 0.000, 0.000)
In (0.243, 0.243, 0.243)
Tc (0.736, 0.736, 0.736)
Sb (0.465, 0.465, 0.465)

***

Asked for total magnetization across the records above, the calculation gives 0.00, 2.39, 0.00 μB per formula unit in order.
Asked for total energy across the records above, the calculation gives -22.08, -38.23, -19.32 eV per cell in order.